The following is a DFT calculation (PBE) of an optimized crystal structure of YSb2TeRu.

a = 5.004 Å, b = 5.004 Å, c = 5.702 Å
α = 90.00°, β = 90.00°, γ = 90.00°
Sites, in units of the cell vectors:
Y 0.500 0.500 0.500
Sb 0.000 0.500 0.000
Sb 0.500 0.000 0.000
Te 0.000 0.000 0.500
Ru 0.000 0.000 0.000

E_form (uncorrected) in eV per atom: 0.0366
ΔE to the lowest computed polymorph in eV/atom: 0.000
Space group: P4/mmm, No. 123

---

The following is a DFT calculation (PBE) of an optimized crystal structure of Sr2TlIn6Ag.

a = 7.361 Å, b = 7.361 Å, c = 14.041 Å
α = 74.80°, β = 74.80°, γ = 60.00°
Sites, in units of the cell vectors:
Sr 0.896 0.896 0.312
Sr 0.104 0.104 0.688
Sr 0.722 0.722 0.833
Sr 0.278 0.278 0.167
Tl 0.575 0.575 0.275
Tl 0.425 0.425 0.725
In 0.928 0.330 0.412
In 0.330 0.928 0.412
In 0.330 0.330 0.412
In 0.072 0.670 0.588
In 0.670 0.072 0.588
In 0.670 0.670 0.588
In 0.639 0.223 0.914
In 0.223 0.639 0.914
In 0.223 0.223 0.914
In 0.361 0.777 0.086
In 0.777 0.361 0.086
In 0.777 0.777 0.086
Ag 0.000 0.000 0.000
Ag 0.500 0.500 0.500

DFT formation energy in eV/f.u.: -1.15
Space group: R-3m, No. 166

---

The following is a DFT calculation (PBE) of an optimized crystal structure of Tb6Sb2As3Se.

a = 4.212 Å, b = 8.478 Å, c = 9.448 Å
α = 103.26°, β = 102.88°, γ = 90.00°
Sites, in units of the cell vectors:
Tb 0.332 0.928 0.664
Tb 0.662 0.593 0.325
Tb 0.668 0.072 0.336
Tb 0.996 0.255 0.992
Tb 0.004 0.745 0.008
Tb 0.338 0.407 0.675
Sb 0.834 0.668 0.668
Sb 0.166 0.332 0.332
As 0.500 0.500 0.000
As 0.834 0.165 0.667
As 0.166 0.835 0.333
Se 0.500 0.000 0.000

E_form (uncorrected) in eV per atom: -1.4683
Space group: C2/m, No. 12

---

The following is a DFT calculation (PBE) of an optimized crystal structure of Ba2Pt3.

a = 8.831 Å, b = 8.831 Å, c = 8.831 Å
α = 29.36°, β = 29.36°, γ = 29.36°
Sites, in units of the cell vectors:
Ba 0.409 0.409 0.409
Ba 0.591 0.591 0.591
Pt 0.000 0.000 0.000
Pt 0.167 0.167 0.167
Pt 0.833 0.833 0.833

DFT formation energy in eV/f.u.: -3.45
Space group: R-3m, No. 166

---

The following is a DFT calculation (PBE) of an optimized crystal structure of SbP2RhS.

a = 4.977 Å, b = 4.977 Å, c = 4.863 Å
α = 90.00°, β = 90.00°, γ = 90.00°
Site moments in Bohr magnetons follow the coordinates.
Sites, in units of the cell vectors:
Sb 0.000 0.000 0.000  0.01
S 0.000 0.000 0.500  0.06
Rh 0.500 0.500 0.500  0.92
P 0.000 0.500 0.000  -0.03
P 0.500 0.000 0.000  -0.03

E_form (uncorrected) in eV per atom: 1.4408
ΔE to the lowest computed polymorph in eV/atom: 0.984
Space group: P4/mmm, No. 123

---

The following is a DFT calculation (PBE) of an optimized crystal structure of CoCu2PdN.

a = 3.941 Å, b = 3.941 Å, c = 3.692 Å
α = 90.00°, β = 90.00°, γ = 90.00°
Site moments in Bohr magnetons follow the coordinates.
Sites, in units of the cell vectors:
Co 0.000 0.000 0.500  1.29
Cu 0.000 0.500 0.000  0.01
Cu 0.500 0.000 0.000  0.01
Pd 0.500 0.500 0.500  0.08
N 0.000 0.000 0.000  0.05

E_form (uncorrected) in eV per atom: 0.1018
Space group: P4/mmm, No. 123

---

The following is a DFT calculation (PBE) of an optimized crystal structure of Pr6Pt2Se3Br.

a = 4.175 Å, b = 8.798 Å, c = 9.706 Å
α = 104.23°, β = 102.42°, γ = 90.00°
Sites, in units of the cell vectors:
Pr 0.326 0.898 0.653
Pr 0.670 0.571 0.341
Pr 0.674 0.102 0.347
Pr 0.004 0.270 0.009
Pr 0.996 0.730 0.991
Pr 0.330 0.429 0.659
Pt 0.835 0.671 0.670
Pt 0.165 0.329 0.330
Se 0.500 0.500 0.000
Se 0.840 0.165 0.679
Se 0.160 0.835 0.321
Br 0.500 0.000 0.000

E_form (uncorrected) in eV per atom: -1.4732
Space group: C2/m, No. 12

---

The following is a DFT calculation (PBE) of an optimized crystal structure of Cs3KNa2.

a = 6.845 Å, b = 13.260 Å, c = 13.260 Å
α = 123.43°, β = 90.00°, γ = 90.00°
Sites, in units of the cell vectors:
Cs 0.750 0.521 0.162
Cs 0.750 0.162 0.521
Cs 0.250 0.479 0.838
Cs 0.750 0.133 0.133
Cs 0.250 0.867 0.867
Cs 0.250 0.838 0.479
K 0.250 0.389 0.389
K 0.750 0.611 0.611
Na 0.500 0.838 0.162
Na 0.000 0.838 0.162
Na 0.000 0.162 0.838
Na 0.500 0.162 0.838

DFT formation energy in eV/f.u.: 0.35
Space group: Cmcm, No. 63

---

The following is a DFT calculation (PBE) of an optimized crystal structure of Sm2Zn2Ag.

a = 7.281 Å, b = 7.281 Å, c = 8.746 Å
α = 90.00°, β = 90.00°, γ = 90.00°
Sites, in units of the cell vectors:
Sm 0.670 0.830 0.500
Sm 0.330 0.170 0.500
Sm 0.830 0.330 0.000
Sm 0.170 0.670 0.000
Sm 0.830 0.330 0.500
Sm 0.170 0.670 0.500
Sm 0.330 0.170 0.000
Sm 0.670 0.830 0.000
Zn 0.372 0.872 0.250
Zn 0.628 0.128 0.250
Zn 0.128 0.372 0.750
Zn 0.872 0.628 0.750
Zn 0.872 0.628 0.250
Zn 0.128 0.372 0.250
Zn 0.372 0.872 0.750
Zn 0.628 0.128 0.750
Ag 0.500 0.500 0.250
Ag 0.000 0.000 0.750
Ag 0.500 0.500 0.750
Ag 0.000 0.000 0.250

DFT formation energy in eV/f.u.: -1.36
ΔE to the lowest computed polymorph in eV/atom: 0.018
Space group: P4/mbm, No. 127

---

The following is a DFT calculation (PBE) of an optimized crystal structure of Rb3CuO3.

a = 4.754 Å, b = 6.713 Å, c = 6.713 Å
α = 114.61°, β = 103.66°, γ = 103.66°
Site moments in Bohr magnetons follow the coordinates.
Sites, in units of the cell vectors:
Rb 0.520 0.495 0.495  0.00
Rb 0.025 0.000 0.505  0.00
Rb 0.025 0.505 0.000  0.00
Cu 0.364 0.000 0.000  0.78
O 0.162 0.722 0.722  0.35
O 0.440 0.000 0.278  0.35
O 0.440 0.278 0.000  0.35

E_form (uncorrected) in eV per atom: -0.9400
ΔE to the lowest computed polymorph in eV/atom: 0.060
Space group: R3m, No. 160

---

The following is a DFT calculation (PBE) of an optimized crystal structure of ZrCo2Te.

a = 3.922 Å, b = 3.275 Å, c = 5.421 Å
α = 90.00°, β = 90.00°, γ = 90.00°
Site moments in Bohr magnetons follow the coordinates.
Sites, in units of the cell vectors:
Co 0.000 0.250 0.966  0.47
Co 0.000 0.250 0.534  0.47
Te 0.500 0.250 0.250  0.00
Zr 0.500 0.750 0.750  -0.10

E_form (uncorrected) in eV per atom: -0.0788
Space group: Pmmm, No. 47

---

The following is a DFT calculation (PBE) of an optimized crystal structure of TaIrO2.

a = 7.026 Å, b = 7.026 Å, c = 7.026 Å
α = 23.09°, β = 23.09°, γ = 23.09°
Sites, in units of the cell vectors:
Ir 0.000 0.000 0.000
O 0.901 0.901 0.901
O 0.099 0.099 0.099
Ta 0.500 0.500 0.500

E_form (uncorrected) in eV per atom: -1.2907
ΔE to the lowest computed polymorph in eV/atom: 0.000
Space group: R-3m, No. 166

---

Number 1: calculated density 6.525 Mg/m³. Number 2: calculated density 6.221 Mg/m³. Number 3: calculated density 7.796 Mg/m³. Number 4: calculated density 9.743 Mg/m³. Number 5: calculated density 4.392 Mg/m³. Number 6: calculated density 8.874 Mg/m³. Number 7: calculated density 7.650 Mg/m³. Number 8: calculated density 1.599 Mg/m³. Number 9: calculated density 7.727 Mg/m³. Number 10: calculated density 3.488 Mg/m³. Number 11: calculated density 8.031 Mg/m³. Number 12: calculated density 14.365 Mg/m³.